VASP calculation (PBE) on a relaxed structure of AlSe.

Its final energy is -4.1139 eV/atom. The uncorrected formation energy comes out at -0.50 eV per atom. The value obtained for the calculated volume is 27.32 A^3/atom. The value obtained for the total moment is 0.00 Bohr magnetons per cell.

It has space group I4/m (No. 87), with a = 11.003 Å, b = 11.003 Å, c = 3.610 Å, α = 90.00°, β = 90.00° and γ = 90.00°. The inequivalent atoms are Al at (0.159, 0.309, 0.000) and Se at (0.017, 0.259, 0.500).